w.
{"formula": "CoAg2Pt", "functional": "meta-GGA SCAN", "state": "single point on PBEsol structure", "spacegroup": "Fm-3m (225)", "lattice_angstrom": [[0.000, 3.097, 3.097], [3.097, 0.000, 3.097], [3.097, 3.097, 0.000]], "species": ["Co", "Ag", "Ag", "Pt"], "fractional_positions": [[0.000, 0.000, 0.000], [0.250, 0.250, 0.250], [0.750, 0.750, 0.750], [0.500, 0.500, 0.500]]}

=====

x.
{"formula": "CoAg2Pt", "functional": "meta-GGA SCAN", "state": "single point on PBEsol structure", "spacegroup": "C2/m (12)", "lattice_angstrom": [[2.663, -4.702, 0.000], [2.663, 4.702, 0.000], [-1.271, 0.000, 2.370]], "species": ["Co", "Ag", "Ag", "Pt"], "fractional_positions": [[0.000, 0.000, 0.000], [0.000, 0.500, 0.500], [0.500, 0.000, 0.500], [0.500, 0.500, 0.000]]}

=====

Name the most stable of them. x.

=====

w.
{"formula": "CoReAg2", "functional": "meta-GGA SCAN", "state": "single point on PBEsol structure", "spacegroup": "P2/m (10)", "lattice_angstrom": [[2.606, 0.000, 0.000], [0.000, 4.697, 0.000], [-0.351, 0.000, 4.744]], "species": ["Co", "Re", "Ag", "Ag"], "fractional_positions": [[0.000, 0.000, 0.000], [0.500, 0.000, 0.500], [0.222, 0.500, 0.753], [0.778, 0.500, 0.247]]}

=====

x.
{"formula": "CoReAg2", "functional": "meta-GGA SCAN", "state": "single point on PBEsol structure", "spacegroup": "Pmmm (47)", "lattice_angstrom": [[2.674, 0.000, 0.000], [0.000, 4.559, 0.000], [0.000, 0.000, 4.804]], "species": ["Co", "Re", "Ag", "Ag"], "fractional_positions": [[0.000, 0.000, 0.000], [0.500, 0.500, 0.000], [0.000, 0.500, 0.500], [0.500, 0.000, 0.500]]}

=====

Name the most stable of them. x.